The following is a PBE with a Hubbard U calculation of ZnCrSn2O after structural relaxation, from the Alexandria database.

It has space group P4/mmm (No. 123), with a = 5.063 Å, b = 5.063 Å, c = 4.877 Å, α = 90.00°, β = 90.00° and γ = 90.00°. Symmetry generates all atoms from Zn at (0.000, 0.000, 0.000), Cr at (0.000, 0.000, 0.500), Sn at (0.000, 0.500, 0.000) and O at (0.500, 0.500, 0.500).

The crystal system is tetragonal. The value obtained for the final energy is -3.56 eV/atom. The volume comes out at 25.0 Å³ per atom.